Zr2MnW | GGA-PBE | relaxed

N(E_F)	1.1169	states/eV/atom
formation energy	1.140	eV/f.u.
energy	-9.520	eV/atom

a b c (Å): 3.9993 3.9993 9.3374
angles (deg): 90.00 90.00 90.00
Fractional coordinates of all 8 atoms:
Zr 0.0000 0.0000 0.0000
Zr 0.0000 0.5000 0.2500
Zr 0.5000 0.0000 0.7500
Zr 0.5000 0.5000 0.5000
Mn 0.0000 0.5000 0.7500
Mn 0.5000 0.0000 0.2500
W 0.0000 0.0000 0.5000
W 0.5000 0.5000 0.0000